Record 1
A relaxed LaAl3Hg3 crystal, computed with PBE.

Cell lengths 7.273, 7.273, 7.273 Å; angles 90.00, 90.00, 90.00 degrees
Element x y z (fractional)
La 0.000 0.000 0.000
La 0.500 0.500 0.500
Al 0.000 0.250 0.500
Al 0.000 0.750 0.500
Al 0.250 0.500 0.000
Al 0.500 0.000 0.250
Al 0.500 0.000 0.750
Al 0.750 0.500 0.000
Hg 0.000 0.500 0.250
Hg 0.000 0.500 0.750
Hg 0.250 0.000 0.500
Hg 0.500 0.250 0.000
Hg 0.500 0.750 0.000
Hg 0.750 0.000 0.500

Record 2
A relaxed Mn2PPb crystal, computed with PBE.

Cell lengths 3.175, 3.280, 13.224 Å; angles 90.00, 90.00, 90.00 degrees
Element x y z (fractional)
Mn 0.000 0.000 0.000
Mn 0.000 0.500 0.333
Mn 0.500 0.000 0.833
Mn 0.500 0.500 0.500
P 0.000 0.000 0.453
P 0.500 0.500 0.953
Pb 0.000 0.500 0.688
Pb 0.500 0.000 0.188

What calculated formation energy values result from the calculations? In sequence: 0.15 0.02 eV per atom.